Material: LaMg12Hg4
Method: DFT, GGA-PBE
State: relaxed

DFT formation energy   0.08 eV per atom
N(E_F)   6.743 states/eV/f.u.

a b c (Å): 8.4491 8.4491 8.4491
angles (deg): 109.47 109.47 109.47
Sites, in units of the cell vectors:
Mg  0.8418  0.6575  0.4993
Mg  0.6575  0.4993  0.8418
Mg  0.3425  0.1843  0.8418
Mg  0.1582  0.3425  0.5007
Mg  0.4993  0.8418  0.6575
Mg  0.8418  0.3425  0.1843
Mg  0.3425  0.5007  0.1582
Mg  0.1843  0.8418  0.3425
Mg  0.1582  0.6575  0.8157
Mg  0.6575  0.8157  0.1582
Mg  0.5007  0.1582  0.3425
Mg  0.8157  0.1582  0.6575
Hg  0.5000  0.5000  0.5000
Hg  0.0000  0.5000  0.0000
Hg  0.0000  0.0000  0.5000
Hg  0.5000  0.0000  0.0000
La  0.0000  0.0000  0.0000

=====

Material: KTlSe
Method: DFT, GGA-PBE
State: relaxed

Uncorrected formation energy   -718 meV per atom
Energy relative to the lowest polymorph listed for this composition   48 meV/atom

a b c (Å): 5.4171 5.4171 5.4171
angles (deg): 60.00 60.00 60.00
Sites, in units of the cell vectors:
K  0.5000  0.5000  0.5000
Tl  0.0000  0.0000  0.0000
Se  0.7500  0.7500  0.7500

=====

Material: La3Tb5In2
Method: DFT, GGA-PBE
State: relaxed

DFT formation energy   0.01 eV per atom
N(E_F)   14.975 states/eV/f.u.

a b c (Å): 6.5574 10.7147 10.7147
angles (deg): 93.57 72.18 72.18
Sites, in units of the cell vectors:
Tb  0.2500  0.5000  0.5000
Tb  0.3876  0.7753  0.4496
Tb  0.7500  0.5000  0.5000
Tb  0.0048  0.7452  0.7452
Tb  0.6124  0.2247  0.5504
Tb  0.5048  0.7452  0.7452
Tb  0.4952  0.2548  0.2548
Tb  0.1124  0.5504  0.2247
Tb  0.8876  0.4496  0.7753
Tb  0.9952  0.2548  0.2548
La  0.6231  0.6377  0.1161
La  0.2500  0.0000  0.0000
La  0.3769  0.3623  0.8839
La  0.8769  0.8839  0.3623
La  0.1231  0.1161  0.6377
La  0.7500  0.0000  0.0000
In  0.1391  0.7144  0.0074
In  0.6391  0.0074  0.7144
In  0.3609  0.9926  0.2856
In  0.8609  0.2856  0.9926

=====

Material: Al3FeCo
Method: DFT, GGA-PBE
State: relaxed

DFT formation energy   -0.17 eV per atom
Energy relative to the lowest polymorph listed for this composition   0 meV/atom
N(E_F)   3.709 states/eV/f.u.

a b c (Å): 6.1986 6.9601 6.1986
angles (deg): 89.97 84.36 90.03
Sites, in units of the cell vectors:
Al  0.0524  0.6765  0.5524
Al  0.4476  0.1765  0.9476
Al  0.1902  0.5859  0.0543
Al  0.4454  0.4142  0.3097
Al  0.8098  0.4141  0.9457
Al  0.9476  0.3235  0.4476
Al  0.9457  0.0859  0.8098
Al  0.3097  0.0858  0.4454
Al  0.0543  0.9141  0.1902
Al  0.5546  0.5858  0.6903
Al  0.6903  0.9142  0.5546
Al  0.5524  0.8235  0.0524
Fe  0.1059  0.2500  0.1059
Fe  0.6056  0.2500  0.6056
Fe  0.3944  0.7500  0.3944
Fe  0.8941  0.7500  0.8941
Co  0.2108  0.3836  0.7108
Co  0.2892  0.8836  0.7892
Co  0.7108  0.1164  0.2108
Co  0.7892  0.6164  0.2892

=====

Material: NaNdAs2Pd5
Method: DFT, GGA-PBE
State: relaxed

DFT formation energy   -0.62 eV per atom
N(E_F)   4.366 states/eV/f.u.

a b c (Å): 4.2461 4.2461 9.4191
angles (deg): 90.00 90.00 90.00
Sites, in units of the cell vectors:
As  0.5000  0.5000  0.1359
As  0.5000  0.5000  0.8641
Pd  0.0000  0.5000  0.7261
Pd  0.5000  0.0000  0.2739
Pd  0.5000  0.0000  0.7261
Pd  0.0000  0.5000  0.2739
Pd  0.5000  0.5000  0.5000
Nd  0.0000  0.0000  0.5000
Na  0.0000  0.0000  0.0000

=====

Material: Ba2SeBr
Method: DFT, GGA-PBE
State: relaxed

Uncorrected formation energy   -954 meV per atom
Energy relative to the lowest polymorph listed for this composition   887 meV/atom
N(E_F)   3.328 states/eV/f.u.

a b c (Å): 5.6685 5.6685 5.6685
angles (deg): 60.00 60.00 60.00
Sites, in units of the cell vectors:
Ba  0.0000  0.0000  0.0000
Ba  0.2500  0.2500  0.2500
Br  0.5000  0.5000  0.5000
Se  0.7500  0.7500  0.7500

=====

Material: KZnFe2
Method: DFT, GGA-PBE
State: relaxed

DFT formation energy   0.65 eV per atom
N(E_F)   2.608 states/eV/f.u.

a b c (Å): 9.7605 9.7605 9.7605
angles (deg): 17.07 17.07 17.07
Sites, in units of the cell vectors:
Fe  0.9953  0.9953  0.9953
Fe  0.2697  0.2697  0.2697
Zn  0.7326  0.7326  0.7326
K  0.5023  0.5023  0.5023

=====

Material: AcY4Sc
Method: DFT, GGA-PBE
State: relaxed

DFT formation energy   0.23 eV per atom
N(E_F)   12.625 states/eV/f.u.

a b c (Å): 3.4889 5.8325 10.0699
angles (deg): 90.00 89.99 90.00
Sites, in units of the cell vectors:
Ac  0.9973  0.0013  0.5019
Y  0.9973  0.5013  0.7103
Y  0.4973  0.0013  0.1753
Y  0.4972  0.0013  0.8284
Y  0.9972  0.5013  0.2934
Sc  0.4973  0.5013  0.0019

=====

Material: Cs4K2CdSb2
Method: DFT, GGA-PBE
State: relaxed

Uncorrected formation energy   -273 meV per atom
N(E_F)   0.743 states/eV/f.u.

a b c (Å): 5.9157 9.5919 9.5919
angles (deg): 74.58 77.99 77.99
Sites, in units of the cell vectors:
Cs  0.1779  0.0809  0.6446
Cs  0.1779  0.6446  0.0809
Cs  0.8221  0.3554  0.9191
Cs  0.8221  0.9191  0.3554
Sb  0.7026  0.8131  0.8131
Sb  0.2974  0.1869  0.1869
Cd  0.5000  0.0000  0.0000
K  0.3152  0.6423  0.6423
K  0.6848  0.3577  0.3577

=====

Material: CaGe2Os
Method: DFT, GGA-PBE
State: relaxed

DFT formation energy   -0.28 eV per atom
N(E_F)   1.569 states/eV/f.u.

a b c (Å): 4.3973 7.1433 10.2137
angles (deg): 90.00 90.00 90.00
Sites, in units of the cell vectors:
Ca  0.7500  0.6725  0.3687
Ca  0.2500  0.3275  0.6313
Ca  0.2500  0.8275  0.8687
Ca  0.7500  0.1725  0.1313
Ge  0.2500  0.3045  0.9263
Ge  0.2500  0.3698  0.3156
Ge  0.7500  0.1302  0.8156
Ge  0.2500  0.8045  0.5737
Ge  0.2500  0.8698  0.1844
Ge  0.7500  0.6955  0.0737
Ge  0.7500  0.1955  0.4263
Ge  0.7500  0.6302  0.6844
Os  0.2500  0.0265  0.3922
Os  0.2500  0.5265  0.1078
Os  0.7500  0.4735  0.8922
Os  0.7500  0.9735  0.6078

=====

Material: HgOsPb2
Method: DFT, GGA-PBE
State: relaxed

DFT formation energy   0.69 eV per atom
N(E_F)   2.510 states/eV/f.u.

a b c (Å): 4.8554 3.5660 5.6250
angles (deg): 71.39 90.00 90.00
Sites, in units of the cell vectors:
Hg  0.0000  0.7008  0.4742
Pb  0.0000  0.9715  0.9294
Pb  0.5000  0.2768  0.3243
Os  0.5000  0.5509  0.7722

=====

Material: Cs3VPt
Method: DFT, GGA-PBE
State: relaxed

DFT formation energy   1.15 eV per atom
N(E_F)   12.661 states/eV/f.u.

a b c (Å): 6.3726 6.3726 6.3726
angles (deg): 90.00 90.00 90.00
Sites, in units of the cell vectors:
Pt  0.5000  0.5000  0.5000
Cs  0.0000  0.0000  0.5000
Cs  0.5000  0.0000  0.0000
Cs  0.0000  0.5000  0.0000
V  0.0000  0.0000  0.0000

=====

no.,E (eV/atom),magnetization (μB/f.u.)
1,-1.407,0.0
2,-3.034,0.0
3,-4.330,0.0
4,-5.527,0.0
5,-5.213,0.0
6,-3.205,0.0
7,-4.175,4.7
8,-5.819,0.0
9,-1.914,0.0
10,-5.896,0.0
11,-4.050,0.0
12,-2.395,5.3